MnAlCu2: optimized geometry, PBE-GGA. Values from VASP.

Cell and atoms, written as Quantum ESPRESSO input:
```
&SYSTEM
  ibrav = 0, nat = 4, ntyp = 3
/
ATOMIC_SPECIES
Mn 54.94 Mn.upf
Al 26.98 Al.upf
Cu 63.55 Cu.upf
CELL_PARAMETERS angstrom
-1.953 1.953 3.406
1.953 -1.953 3.406
1.953 1.953 -3.406
ATOMIC_POSITIONS angstrom
Mn 0.000 0.000 0.000
Al 1.953 0.000 1.703
Cu 0.000 0.000 3.406
Cu 0.000 1.953 1.703
```

**Total magnetization**: 3.400 μB/cell
**E_form**: -0.0755 eV per atom
**Crystal system**: tetragonal